## TbSm2MnN4 (PBE)

Data for a geometry-optimized TbSm2MnN4 structure.

Computed properties:
E_form (uncorrected) = -1.03 eV per atom

Cell: 3.409 11.619 11.826 Å, 90.00 90.00 90.00°
Space group Cmcm (No. 63)
Asymmetric unit:
Tb  0.000  0.121  0.250 [4 per cell]
Sm  0.000  0.367  0.043 [8 per cell]
Mn  0.000  0.155  0.750 [4 per cell]
N  0.000  0.000  0.000 [4 per cell]
N  0.000  0.270  0.638 [8 per cell]
N  0.000  0.418  0.250 [4 per cell]

## Th2InRh6 (PBE)

Data for a geometry-optimized Th2InRh6 structure.

Computed properties:
Energy of formation from the pure elements = -379 meV per atom

Cell: 3.967 8.057 11.573 Å, 90.00 90.00 90.00°
Space group Immm (No. 71)
Asymmetric unit:
Th  0.000  0.000  0.166 [4 per cell]
In  0.000  0.000  0.500 [2 per cell]
Rh  0.000  0.251  0.336 [8 per cell]
Rh  0.000  0.256  0.000 [4 per cell]

## La6Cd5Pb (PBE)

Data for a geometry-optimized La6Cd5Pb structure.

Computed properties:
Energy of formation from the pure elements = -379 meV per atom

Cell: 5.580 7.897 16.786 Å, 90.00 90.00 90.00°
Space group Immm (No. 71)
Asymmetric unit:
La  0.000  0.250  0.000 [4 per cell]
La  0.000  0.250  0.333 [8 per cell]
Cd  0.000  0.000  0.168 [4 per cell]
Cd  0.000  0.500  0.172 [4 per cell]
Cd  0.000  0.500  0.500 [2 per cell]
Pb  0.000  0.000  0.500 [2 per cell]

## ReMo2 (PBE)

Data for a geometry-optimized ReMo2 structure.

Computed properties:
Energy of formation from the pure elements = 456 meV per atom
ΔE to the lowest computed polymorph = 412 meV per atom

Cell: 2.691 4.546 7.908 Å, 90.00 90.00 90.00°
Space group Immm (No. 71)
Asymmetric unit:
Re  0.000  0.000  0.000 [2 per cell]
Mo  0.000  0.500  0.181 [4 per cell]

DFT total energy across the listed records, respectively: -8.102, -7.233, -3.533, -10.914 eV/atom.
Magnetic moment across the listed records, respectively: 0.0, 0.0, 0.1, 0.0 μB per cell.